# KAl2Os, single point on PBEsol structure, DFT SCAN
# Polymorph energy (0 for the lowest one) ... 874 meV per atom
# ΔH_f (0 K) ... 936 meV/atom
# DOS(E_F) ... 1.8 states/eV per cell
data_KAl2Os
_chemical_formula_sum 'K1 Al2 Os1'
_symmetry_space_group_name_H-M 'P m m m'
_symmetry_Int_Tables_number 47
_symmetry_space_group_name_Hall '-P 2 2'
_cell_length_a 2.706
_cell_length_b 4.937
_cell_length_c 5.522
_cell_angle_alpha 90.00
_cell_angle_beta 90.00
_cell_angle_gamma 90.00
loop_
_atom_site_label
_atom_site_type_symbol
_atom_site_fract_x
_atom_site_fract_y
_atom_site_fract_z
_atom_site_occupancy
K1 K 0.000 0.000 0.000 1
Al1 Al 0.000 0.500 0.500 1
Al2 Al 0.500 0.500 0.000 1
Os1 Os 0.500 0.000 0.500 1